Compound: KInAs3
Source: Alexandria via LeMat-Bulk
Functional: PBE
Structure: optimized geometry

For the energy of formation from the pure elements, the calculation gives 0.4163 eV per atom. Its size of the total moment is 0.00 μB/atom. The calculation puts the energy relative to the lowest polymorph listed for this composition at 0 meV per atom.

The space group is Pm-3m (No. 221) and the conventional cell measures 5.3690, 5.3690 and 5.3690 Å, with angles of 90.00, 90.00 and 90.00 degrees. Symmetry generates all atoms from K at (0.0000, 0.0000, 0.0000), In at (0.5000, 0.5000, 0.5000) and As at (0.0000, 0.5000, 0.5000).